(1)
Material: TbTl2WO8
Method: DFT, PBE+U
State: optimized geometry

## Properties
Magnetization = 1.005 Bohr magnetons per cell
D(E_F) = 7.9 states/eV per cell
E = -6.266 eV per atom
Symmetry = Cmmm, No. 65

abc: 5.0887 5.0887 6.7737
angles: 90.00 90.00 91.22
Last column: nearest neighbours and their distance in Å.
Fractional positions:
1 Tb 0.0000 0.0000 0.0000  6 O 2.19-2.34
2 Tl 0.5000 0.5000 0.2535  6 O 2.20-2.35
3 Tl 0.5000 0.5000 0.7465  6 O 2.20-2.35
4 W 0.0000 0.0000 0.5000  6 O 1.94-2.00
5 O 0.1786 0.8214 0.2873  1 W 1.94
6 O 0.1786 0.8214 0.7127  1 W 1.94
7 O 0.2807 0.2807 0.5000  1 W 2.00
8 O 0.3071 0.3071 0.0000  1 Tb 2.19, 2 Tl 2.20
9 O 0.6929 0.6929 0.0000  1 Tb 2.19, 2 Tl 2.20
10 O 0.7193 0.7193 0.5000  1 W 2.00
11 O 0.8214 0.1786 0.2873  1 W 1.94
12 O 0.8214 0.1786 0.7127  1 W 1.94

(2)
Material: TbTl2WO6
Method: DFT, PBE+U
State: optimized geometry

## Properties
Magnetization = 0.000 Bohr magnetons per cell
D(E_F) = 13.8 states/eV per cell
E = -6.454 eV per atom
Symmetry = R-3m, No. 166

abc: 11.2422 11.2422 11.2422
angles: 31.60 31.60 31.60
Last column: nearest neighbours and their distance in Å.
Fractional positions:
1 Tb 0.0987 0.0987 0.0987  3 O 2.19
2 Tb 0.9013 0.9013 0.9013  3 O 2.19
3 Tl 0.2069 0.2069 0.2069  9 O 3.06-3.07
4 Tl 0.3323 0.3323 0.3323  3 O 2.32
5 Tl 0.6677 0.6677 0.6677  3 O 2.32
6 Tl 0.7931 0.7931 0.7931  9 O 3.06-3.07
7 W 0.0000 0.0000 0.0000  6 O 1.95
8 W 0.5000 0.5000 0.5000  6 O 1.97
9 O 0.1069 0.1069 0.6728  1 W 1.95
10 O 0.1069 0.6728 0.1069  1 W 1.95
11 O 0.2274 0.6880 0.6880  1 W 1.97, 1 Tb 2.19
12 O 0.3120 0.3120 0.7726  1 W 1.97, 1 Tb 2.19
13 O 0.3120 0.7726 0.3120  1 W 1.97, 1 Tb 2.19
14 O 0.3272 0.8931 0.8931  1 W 1.95
15 O 0.6728 0.1069 0.1069  1 W 1.95
16 O 0.6880 0.2274 0.6880  1 W 1.97, 1 Tb 2.19
17 O 0.6880 0.6880 0.2274  1 W 1.97, 1 Tb 2.19
18 O 0.7726 0.3120 0.3120  1 W 1.97, 1 Tb 2.19
19 O 0.8931 0.3272 0.8931  1 W 1.95
20 O 0.8931 0.8931 0.3272  1 W 1.95